P:
Entry from the Alexandria database: a geometry-optimized CrGeIr2F structure (GGA+U).

abc: 4.5492 4.5492 5.1494
angles: 90.00 90.00 90.00
Closest atoms and distances in Å follow each position.
Positions (direct):
1 Cr 0.0000 0.0000 0.5000  2 Ge 2.57
2 Ir 0.0000 0.5000 0.0000  2 Ge 2.27
3 Ir 0.5000 0.0000 0.0000  2 Ge 2.27
4 F 0.5000 0.5000 0.5000  4 Cr 3.22, 8 Ir 3.44
5 Ge 0.0000 0.0000 0.0000  4 Ir 2.27

Volume in Å³/cell: 106.57

---

Q:
Entry from the Alexandria database: a geometry-optimized CrGeIr2F structure (GGA+U).

abc: 4.4799 4.8830 4.4799
angles: 90.00 90.00 90.00
Closest atoms and distances in Å follow each position.
Positions (direct):
1 Cr 0.0000 0.0000 0.0000  4 Ir 2.24, 2 Ge 2.44
2 Ir 0.0000 0.0000 0.5000  2 Cr 2.24
3 Ge 0.0000 0.5000 0.0000  2 Cr 2.44
4 F 0.5000 0.5000 0.5000  4 Ge 3.17, 8 Ir 3.31
5 Ir 0.5000 0.0000 0.0000  2 Cr 2.24

Volume in Å³/cell: 98.00

---

Most favorable structure: P. The second most favorable one is 435 meV/atom above it.

---

P:
Entry from the Alexandria database: a geometry-optimized CrGeNF2 structure (GGA+U).

abc: 3.8934 3.8934 4.1478
angles: 90.00 90.00 90.00
Closest atoms and distances in Å follow each position.
Positions (direct):
1 F 0.0000 0.5000 0.0000  2 Cr 1.95
2 F 0.5000 0.0000 0.0000  2 Cr 1.95
3 N 0.0000 0.0000 0.5000  2 Cr 2.07
4 Ge 0.5000 0.5000 0.5000  4 N 2.75, 8 F 2.84
5 Cr 0.0000 0.0000 0.0000  4 F 1.95, 2 N 2.07

Volume in Å³/cell: 62.87

---

Q:
Entry from the Alexandria database: a geometry-optimized CrGeNF2 structure (GGA+U).

abc: 4.1754 4.1754 3.6314
angles: 90.00 90.00 90.00
Closest atoms and distances in Å follow each position.
Positions (direct):
1 N 0.0000 0.0000 0.5000  2 Ge 1.82
2 Ge 0.0000 0.0000 0.0000  2 N 1.82
3 F 0.5000 0.0000 0.0000  2 Ge 2.09
4 F 0.0000 0.5000 0.0000  2 Ge 2.09
5 Cr 0.5000 0.5000 0.5000  8 F 2.77, 4 N 2.95

Volume in Å³/cell: 63.31

---

Most favorable structure: P. The second most favorable one is 143 meV/atom above it.

---

P:
Entry from the Alexandria database: a geometry-optimized CrGeOF2 structure (GGA+U).

abc: 4.2743 4.2743 3.7963
angles: 90.00 90.00 90.00
Closest atoms and distances in Å follow each position.
Positions (direct):
1 F 0.5000 0.0000 0.0000  2 Ge 2.14
2 F 0.0000 0.5000 0.0000  2 Ge 2.14
3 Cr 0.5000 0.5000 0.5000  8 F 2.86, 4 O 3.02
4 Ge 0.0000 0.0000 0.0000  2 O 1.90
5 O 0.0000 0.0000 0.5000  2 Ge 1.90

Volume in Å³/cell: 69.36

---

Q:
Entry from the Alexandria database: a geometry-optimized CrGeOF2 structure (GGA+U).

abc: 4.0532 4.0532 3.9945
angles: 90.00 90.00 90.00
Closest atoms and distances in Å follow each position.
Positions (direct):
1 F 0.5000 0.0000 0.0000  2 Cr 2.03
2 F 0.0000 0.5000 0.0000  2 Cr 2.03
3 Ge 0.5000 0.5000 0.5000  8 F 2.85, 4 O 2.87
4 O 0.0000 0.0000 0.5000  2 Cr 2.00
5 Cr 0.0000 0.0000 0.0000  2 O 2.00, 4 F 2.03

Volume in Å³/cell: 65.62

---

Most favorable structure: Q. The second most favorable one is 187 meV/atom above it.

---

P:
Entry from the Alexandria database: a geometry-optimized Cr2GeRhF structure (GGA+U).

abc: 5.0276 3.8910 5.0276
angles: 90.00 90.00 90.00
Closest atoms and distances in Å follow each position.
Positions (direct):
1 Ge 0.0000 0.0000 0.0000  2 F 1.95
2 F 0.0000 0.5000 0.0000  2 Ge 1.95
3 Rh 0.5000 0.5000 0.5000  8 Cr 3.18, 4 F 3.56
4 Cr 0.5000 0.0000 0.0000  2 Ge 2.51
5 Cr 0.0000 0.0000 0.5000  2 Ge 2.51

Volume in Å³/cell: 98.35

---

Q:
Entry from the Alexandria database: a geometry-optimized Cr2GeRhF structure (GGA+U).

abc: 4.1863 4.7024 4.1863
angles: 90.00 90.00 90.00
Closest atoms and distances in Å follow each position.
Positions (direct):
1 Ge 0.5000 0.5000 0.5000  4 Rh 2.96, 8 Cr 3.15
2 Rh 0.0000 0.5000 0.0000  2 F 2.35
3 F 0.0000 0.0000 0.0000  4 Cr 2.09
4 Cr 0.0000 0.0000 0.5000  2 F 2.09
5 Cr 0.5000 0.0000 0.0000  2 F 2.09

Volume in Å³/cell: 82.41

---

Most favorable structure: Q. The second most favorable one is 435 meV/atom above it.

---

P:
Entry from the Alexandria database: a geometry-optimized CrH3F structure (GGA+U).

abc: 3.4738 3.4738 3.4738
angles: 90.00 90.00 90.00
Closest atoms and distances in Å follow each position.
Positions (direct):
1 H 0.0000 0.0000 0.5000  2 Cr 1.74
2 H 0.0000 0.5000 0.0000  2 Cr 1.74
3 Cr 0.0000 0.0000 0.0000  6 H 1.74
4 H 0.5000 0.0000 0.0000  2 Cr 1.74
5 F 0.5000 0.5000 0.5000  12 H 2.46

Volume in Å³/cell: 41.92

---

Q:
Entry from the Alexandria database: a geometry-optimized CrH3F structure (GGA+U).

abc: 3.4725 3.4725 3.4725
angles: 90.00 90.00 90.00
Closest atoms and distances in Å follow each position.
Positions (direct):
1 Cr 0.5000 0.5000 0.5000  12 H 2.46
2 H 0.0000 0.0000 0.5000  2 F 1.74
3 F 0.0000 0.0000 0.0000  6 H 1.74
4 H 0.0000 0.5000 0.0000  2 F 1.74
5 H 0.5000 0.0000 0.0000  2 F 1.74

Volume in Å³/cell: 41.87

---

Most favorable structure: P. The second most favorable one is 482 meV/atom above it.

---

P:
Entry from the Alexandria database: a geometry-optimized CrHF3 structure (GGA+U).

abc: 3.4783 3.4783 3.4783
angles: 90.00 90.00 90.00
Closest atoms and distances in Å follow each position.
Positions (direct):
1 Cr 0.5000 0.5000 0.5000  12 F 2.46
2 H 0.0000 0.0000 0.0000  6 F 1.74
3 F 0.0000 0.5000 0.0000  2 H 1.74
4 F 0.0000 0.0000 0.5000  2 H 1.74
5 F 0.5000 0.0000 0.0000  2 H 1.74

Volume in Å³/cell: 42.08

---

Q:
Entry from the Alexandria database: a geometry-optimized CrHF3 structure (GGA+U).

abc: 7.2090 3.8848 6.7253
angles: 90.01 112.34 122.66
Closest atoms and distances in Å follow each position.
Positions (direct):
1 F 0.6049 0.6048 0.2076  2 Cr 1.96
2 F 0.3951 0.3952 0.7924  2 Cr 1.96
3 F 0.8971 0.8967 0.7923  2 Cr 1.96
4 F 0.2482 0.7483 0.9965  2 Cr 1.94
5 Cr 0.2505 0.2506 0.0009  6 F 1.94-1.96
6 Cr 0.7495 0.7494 0.9991  6 F 1.94-1.96
7 F 0.7518 0.2517 0.0035  2 Cr 1.94
8 F 0.1029 0.1033 0.2077  2 Cr 1.96
9 H 0.4384 0.9300 0.5000  1 H 0.75
10 H 0.5616 0.0700 0.5000  1 H 0.75

Volume in Å³/cell: 141.48

---

Most favorable structure: Q. The second most favorable one is 931 meV/atom above it.